Record 1
The following is a GGA-PBE calculation of a relaxed structure of HoHgAu2, from Alexandria via LeMat-Bulk.

Properties
- total magnetization (μB per cell) = 0.0
- density (kg/m3) = 12525
- formation energy from the elements (eV per atom) = -0.43
- space-group type = R3m, No. 160

Lattice parameters (Å, degrees): 7.699 7.699 7.699 29.94 29.94 29.94
Positions (direct):
Ho  0.000  0.000  0.000
Hg  0.166  0.166  0.166
Au  0.415  0.415  0.415
Au  0.585  0.585  0.585

***

Record 2
The following is a GGA-PBE calculation of a relaxed structure of LaAs2BrF, from Alexandria via LeMat-Bulk.

Properties
- energy relative to the lowest polymorph listed for this composition (meV per atom) = 844
- total magnetization (μB per cell) = 3.3
- density (kg/m3) = 3114
- space-group type = P4/mmm, No. 123

Lattice parameters (Å, degrees): 6.004 6.004 5.735 90.00 90.00 90.00
Positions (direct):
La  0.000  0.000  0.000
As  0.000  0.500  0.000
As  0.500  0.000  0.000
Br  0.000  0.000  0.500
F  0.500  0.500  0.500

***

Record 3
The following is a GGA-PBE calculation of a relaxed structure of SbPS, from Alexandria via LeMat-Bulk.

Properties
- energy relative to the lowest polymorph listed for this composition (meV per atom) = 62
- total magnetization (μB per cell) = 0.0
- density (kg/m3) = 3409
- space-group type = P1, No. 1

Lattice parameters (Å, degrees): 5.621 5.831 6.352 65.95 78.99 71.72
Positions (direct):
Sb  0.000  0.000  0.000
Sb  0.017  0.021  0.469
P  0.648  0.765  0.218
P  0.934  0.488  0.479
S  0.469  0.048  0.371
S  0.701  0.422  0.796